SmDy2Co (PBE, relaxed); energy above the most stable polymorph in this dataset = 0.0 meV per atom; magnetization = 0.0 μB/f.u.; formation enthalpy at 0 K = -0.141 eV per atom; symmetry = Pnma (62)
1.0
6.953 0.000 0.000
0.000 9.489 0.000
0.000 0.000 6.310
Sm Dy Co
4 8 4
Cartesian
0.301 2.372 0.886
3.176 7.117 4.041
3.777 2.372 2.269
6.653 7.117 5.424
1.196 0.651 4.269
1.196 4.094 4.269
2.281 5.395 1.114
2.281 8.838 1.114
4.672 0.651 5.196
4.672 4.094 5.196
5.757 5.395 2.041
5.757 8.838 2.041
0.788 7.117 2.795
2.689 2.372 5.950
4.264 7.117 0.360
6.165 2.372 3.515